Record 1
BI2Cl | GGA-PBE | relaxed

The space group is P2_1/c (No. 14) and the conventional cell measures 7.592, 5.192 and 19.378 Å, with angles of 90.00, 113.05 and 90.00 degrees. The asymmetric unit holds B at (0.065, 0.001, 0.315), I at (0.088, 0.168, 0.621), I at (0.345, 0.169, 0.379) and Cl at (0.123, 0.749, 0.750).

As for the offset from the most stable computed form: 0 meV per atom. As for the formation energy from raw total energies: -0.2193 eV per atom. The value obtained for the magnetization is 0.00 Bohr magnetons per cell. As for the raw total energy: -50.01 eV for the cell shown. As for the calculated volume: 175.7 Å³/f.u. Its density of states at the Fermi level is 0.00 states/eV/f.u.

Record 2
B2ICl | GGA-PBE | relaxed

The space group is Fm-3m (No. 225) and the conventional cell measures 6.778, 6.778 and 6.778 Å, with angles of 90.00, 90.00 and 90.00 degrees. The asymmetric unit holds B at (0.250, 0.250, 0.250), I at (0.000, 0.000, 0.000) and Cl at (0.000, 0.000, 0.500).

As for the offset from the most stable computed form: 166 meV per atom. As for the formation energy from raw total energies: 1.8689 eV per atom. The value obtained for the magnetization is 0.00 Bohr magnetons per cell. As for the raw total energy: -37.10 eV for the cell shown. As for the calculated volume: 77.8 Å³/f.u. Its density of states at the Fermi level is 0.85 states/eV/f.u.

Record 3
B2ICl | GGA-PBE | relaxed

The space group is I-42d (No. 122) and the conventional cell measures 6.171, 6.171 and 11.929 Å, with angles of 90.00, 90.00 and 90.00 degrees. The asymmetric unit holds B at (0.217, 0.250, 0.125), I at (0.000, 0.000, 0.500) and Cl at (0.000, 0.000, 0.000).

As for the offset from the most stable computed form: 0 meV per atom. As for the formation energy from raw total energies: 1.7031 eV per atom. The value obtained for the magnetization is 0.00 Bohr magnetons per cell. As for the raw total energy: -39.76 eV for the cell shown. As for the calculated volume: 113.6 Å³/f.u. Its density of states at the Fermi level is 0.00 states/eV/f.u.

Record 4
BI2Cl | GGA-PBE | relaxed

The space group is Fm-3m (No. 225) and the conventional cell measures 7.356, 7.356 and 7.356 Å, with angles of 90.00, 90.00 and 90.00 degrees. The asymmetric unit holds B at (0.000, 0.000, 0.000), I at (0.250, 0.250, 0.250) and Cl at (0.000, 0.000, 0.500).

As for the offset from the most stable computed form: 1544 meV per atom. As for the formation energy from raw total energies: 1.3252 eV per atom. The value obtained for the magnetization is 0.00 Bohr magnetons per cell. As for the raw total energy: -25.29 eV for the cell shown. As for the calculated volume: 99.5 Å³/f.u. Its density of states at the Fermi level is 6.04 states/eV/f.u.

Record 5
BIrICl | GGA-PBE | relaxed

The space group is P1 (No. 1) and the conventional cell measures 3.527, 3.547 and 8.327 Å, with angles of 102.06, 90.33 and 119.43 degrees. The asymmetric unit holds B at (0.000, 0.000, 0.000), Ir at (0.669, 0.341, 0.008), I at (0.560, 0.129, 0.683) and Cl at (0.766, 0.530, 0.293).

As for the offset from the most stable computed form: 15 meV per atom. As for the formation energy from raw total energies: -0.0081 eV per atom. The value obtained for the magnetization is 0.00 Bohr magnetons per cell. As for the raw total energy: -18.97 eV for the cell shown. As for the calculated volume: 88.0 Å³/f.u. Its density of states at the Fermi level is 2.55 states/eV/f.u.

Record 6
BIrICl | GGA-PBE | relaxed

The space group is P1 (No. 1) and the conventional cell measures 3.479, 4.326 and 7.344 Å, with angles of 79.26, 89.45 and 66.30 degrees. The asymmetric unit holds B at (0.000, 0.000, 0.000), Ir at (0.380, 0.244, 0.902), I at (0.613, 0.788, 0.682) and Cl at (0.216, 0.562, 0.151).

As for the offset from the most stable computed form: 0 meV per atom. As for the formation energy from raw total energies: -0.0233 eV per atom. The value obtained for the magnetization is 0.00 Bohr magnetons per cell. As for the raw total energy: -19.03 eV for the cell shown. As for the calculated volume: 99.2 Å³/f.u.

Record 7
BIrICl | GGA-PBE | relaxed

The space group is Cm (No. 8) and the conventional cell measures 8.830, 3.407 and 6.793 Å, with angles of 90.00, 92.48 and 90.00 degrees. The asymmetric unit holds B at (0.000, 0.000, 0.000), Ir at (0.405, 0.000, 0.901), I at (0.217, 0.000, 0.191) and Cl at (0.011, 0.500, 0.601).

As for the offset from the most stable computed form: 168 meV per atom. As for the formation energy from raw total energies: 0.1450 eV per atom. The value obtained for the magnetization is 0.00 Bohr magnetons per cell. As for the raw total energy: -36.71 eV for the cell shown. As for the calculated volume: 102.1 Å³/f.u. Its density of states at the Fermi level is 1.71 states/eV/f.u.

Record 8
BIrICl | GGA-PBE | relaxed

The space group is Pmm2 (No. 25) and the conventional cell measures 3.457, 4.862 and 6.951 Å, with angles of 90.00, 90.00 and 90.00 degrees. The asymmetric unit holds B at (0.000, 0.000, 0.000), Ir at (0.500, 0.000, 0.156), I at (0.500, 0.500, 0.280) and Cl at (0.000, 0.000, 0.748).

As for the offset from the most stable computed form: 2 meV per atom. As for the formation energy from raw total energies: -0.0215 eV per atom. The value obtained for the magnetization is 0.00 Bohr magnetons per cell. As for the raw total energy: -19.02 eV for the cell shown. As for the calculated volume: 116.8 Å³/f.u. Its density of states at the Fermi level is 0.87 states/eV/f.u.

Record 9
BIrICl | GGA-PBE | relaxed

The space group is Cm (No. 8) and the conventional cell measures 6.469, 3.335 and 8.976 Å, with angles of 90.00, 108.50 and 90.00 degrees. The asymmetric unit holds B at (0.000, 0.000, 0.000), Ir at (0.350, 0.000, 0.061), I at (0.038, 0.500, 0.361) and Cl at (0.074, 0.000, 0.805).

As for the offset from the most stable computed form: 38 meV per atom. As for the formation energy from raw total energies: 0.0148 eV per atom. The value obtained for the magnetization is 0.00 Bohr magnetons per cell. As for the raw total energy: -37.75 eV for the cell shown. As for the calculated volume: 91.8 Å³/f.u. Its density of states at the Fermi level is 2.18 states/eV/f.u.

Record 10
BIrICl | GGA-PBE | relaxed

The space group is Pm (No. 6) and the conventional cell measures 4.417, 3.393 and 7.369 Å, with angles of 90.00, 90.27 and 90.00 degrees. The asymmetric unit holds B at (0.000, 0.000, 0.000), Ir at (0.002, 0.500, 0.146), I at (0.994, 0.000, 0.705) and Cl at (0.503, 0.500, 0.240).

As for the offset from the most stable computed form: 177 meV per atom. As for the formation energy from raw total energies: 0.1537 eV per atom. The value obtained for the magnetization is 0.00 Bohr magnetons per cell. As for the raw total energy: -18.32 eV for the cell shown. As for the calculated volume: 110.4 Å³/f.u. Its density of states at the Fermi level is 0.60 states/eV/f.u.

Record 11
BIrICl | GGA-PBE | relaxed

The space group is P1 (No. 1) and the conventional cell measures 3.034, 3.580 and 8.608 Å, with angles of 86.03, 85.00 and 65.09 degrees. The asymmetric unit holds B at (0.000, 0.000, 0.000), Ir at (0.729, 0.596, 0.891), I at (0.351, 0.480, 0.623) and Cl at (0.938, 0.029, 0.206).

As for the offset from the most stable computed form: 130 meV per atom. As for the formation energy from raw total energies: 0.1066 eV per atom. The value obtained for the magnetization is 0.00 Bohr magnetons per cell. As for the raw total energy: -18.51 eV for the cell shown. As for the calculated volume: 84.4 Å³/f.u. Its density of states at the Fermi level is 1.25 states/eV/f.u.

Record 12
BIrICl | GGA-PBE | relaxed

The space group is Cm (No. 8) and the conventional cell measures 6.981, 4.903 and 7.379 Å, with angles of 90.00, 95.25 and 90.00 degrees. The asymmetric unit holds B at (0.000, 0.000, 0.000), Ir at (0.352, 0.500, 0.193), I at (0.465, 0.000, 0.280) and Cl at (0.090, 0.000, 0.794).

As for the offset from the most stable computed form: 240 meV per atom. As for the formation energy from raw total energies: 0.2164 eV per atom. The value obtained for the magnetization is 0.00 Bohr magnetons per cell. As for the raw total energy: -36.14 eV for the cell shown. As for the calculated volume: 125.8 Å³/f.u.